1.
{
  "formula": "K2CdIn4Bi3",
  "functional": "PBE-GGA",
  "state": "optimized geometry",
  "lattice_angstrom": [[5.1508, 0.0000, 0.0000], [0.0000, 5.1508, 0.0000], [0.0000, 0.0000, 13.4574]],
  "species": ["Bi", "K", "Bi", "In", "Cd", "In", "K", "In", "In", "Bi"],
  "frac_coords": [[0.0000, 0.0000, 0.5000], [0.5000, 0.0000, 0.2616], [0.5000, 0.0000, 0.8648], [0.5000, 0.5000, 0.0000], [0.5000, 0.5000, 0.5000], [0.0000, 0.5000, 0.3721], [0.0000, 0.5000, 0.7384], [0.0000, 0.0000, 0.0000], [0.5000, 0.0000, 0.6279], [0.0000, 0.5000, 0.1352]],
  "dft_energy_ev_per_atom": -2.719,
  "crystal_system": "tetragonal",
  "volume_a3_per_cell": 357.04,
  "density_g_cm3": 5.94,
  "formation_energy_mev_per_atom": -148
}

***

2.
{
  "formula": "K3Cd2In2Bi4",
  "functional": "PBE-GGA",
  "state": "optimized geometry",
  "lattice_angstrom": [[5.0608, 0.0000, 0.0000], [-2.5304, 4.3828, 0.0000], [0.0000, 0.0000, 18.9921]],
  "species": ["In", "K", "Cd", "Bi", "K", "Bi", "In", "Bi", "Bi", "K", "Cd"],
  "frac_coords": [[0.6667, 0.3333, 0.4430], [0.0000, 0.0000, 0.7270], [0.6667, 0.3333, 0.8608], [0.6667, 0.3333, 0.1377], [0.0000, 0.0000, 0.2730], [0.6667, 0.3333, 0.6052], [0.3333, 0.6667, 0.5570], [0.3333, 0.6667, 0.8623], [0.3333, 0.6667, 0.3948], [0.0000, 0.0000, 0.0000], [0.3333, 0.6667, 0.1392]],
  "dft_energy_ev_per_atom": -2.628,
  "crystal_system": "trigonal",
  "volume_a3_per_cell": 421.26,
  "density_g_cm3": 5.55,
  "formation_energy_mev_per_atom": -253
}

***

3.
{
  "formula": "KCd2InBi",
  "functional": "PBE-GGA",
  "state": "optimized geometry",
  "lattice_angstrom": [[-2.7606, 0.6201, 3.8899], [-4.1411, -1.0045, -2.7788], [4.0356, -6.1737, 0.8742]],
  "species": ["Cd", "In", "Bi", "Cd", "K"],
  "frac_coords": [[0.0623, 0.0623, 0.1246], [0.1802, 0.6802, 0.3604], [0.8335, 0.8335, 0.6669], [0.6928, 0.1928, 0.3857], [0.4433, 0.4433, 0.8867]],
  "dft_energy_ev_per_atom": -2.087,
  "crystal_system": "orthorhombic",
  "volume_a3_per_cell": 160.29,
  "density_g_cm3": 6.09,
  "formation_energy_mev_per_atom": -178
}